(1)
Dy2ErSc | PBE-GGA | relaxed

ΔH_f (0 K) = 0.125 eV per atom
E_tot = -4.90 eV per atom
offset from the most stable computed form = 93 meV/atom
space group = No. 225
M_tot = 0.00 μB/f.u.
crystal system = cubic

a b c (Å): 5.5160 5.5160 5.5160
angles (deg): 60.00 60.00 60.00
Fractional positions:
Dy  0.2500  0.2500  0.2500
Dy  0.7500  0.7500  0.7500
Er  0.0000  0.0000  0.0000
Sc  0.5000  0.5000  0.5000


(2)
Be2TlReTc | PBE-GGA | relaxed

ΔH_f (0 K) = 1.181 eV per atom
E_tot = -5.35 eV per atom
space group = No. 123
M_tot = 0.90 μB/f.u.
crystal system = tetragonal

a b c (Å): 4.3238 4.3238 4.7740
angles (deg): 90.00 90.00 90.00
Fractional positions:
Be  0.0000  0.5000  0.0000
Be  0.5000  0.0000  0.0000
Tl  0.0000  0.0000  0.5000
Re  0.5000  0.5000  0.5000
Tc  0.5000  0.5000  0.0000


(3)
Ba3Cd2Pt7 | PBE-GGA | relaxed

ΔH_f (0 K) = -0.629 eV per atom
E_tot = -4.79 eV per atom
space group = No. 166
M_tot = 0.00 μB/f.u.
crystal system = trigonal

a b c (Å): 9.6652 9.6652 9.6652
angles (deg): 34.84 34.84 34.84
Fractional positions:
Ba  0.0000  0.0000  0.0000
Ba  0.1403  0.1403  0.1403
Ba  0.8597  0.8597  0.8597
Cd  0.3330  0.3330  0.3330
Cd  0.6670  0.6670  0.6670
Pt  0.0836  0.5825  0.5825
Pt  0.4175  0.4175  0.9164
Pt  0.4175  0.9164  0.4175
Pt  0.5000  0.5000  0.5000
Pt  0.5825  0.0836  0.5825
Pt  0.5825  0.5825  0.0836
Pt  0.9164  0.4175  0.4175


(4)
DyHoCdPb | PBE-GGA | relaxed

ΔH_f (0 K) = -0.370 eV per atom
E_tot = -3.82 eV per atom
space group = No. 216
M_tot = 0.00 μB/f.u.
crystal system = cubic

a b c (Å): 5.3294 5.3294 5.3294
angles (deg): 60.00 60.00 60.00
Fractional positions:
Dy  0.0000  0.0000  0.0000
Ho  0.5000  0.5000  0.5000
Cd  0.2500  0.2500  0.2500
Pb  0.7500  0.7500  0.7500


(5)
MgCo2Cl | PBE-GGA | relaxed

E_tot = -4.06 eV per atom
offset from the most stable computed form = 426 meV/atom
space group = No. 166
M_tot = 3.25 μB/f.u.
crystal system = trigonal
ΔE_f (raw) = 1.42 eV/f.u.

a b c (Å): 8.0751 8.0751 8.0751
angles (deg): 20.95 20.95 20.95
Fractional positions:
Mg  0.0000  0.0000  0.0000
Co  0.2425  0.2425  0.2425
Co  0.7575  0.7575  0.7575
Cl  0.5000  0.5000  0.5000


(6)
LaScTeO2 | PBE-GGA | relaxed

E_tot = -7.73 eV per atom
space group = No. 63
M_tot = 0.00 μB/f.u.
crystal system = orthorhombic
ΔE_f (raw) = -14.33 eV/f.u.

a b c (Å): 6.9369 6.9369 5.5553
angles (deg): 90.00 90.00 132.02
Fractional positions:
La  0.1033  0.8967  0.7500
La  0.8967  0.1033  0.2500
Sc  0.4346  0.5654  0.7500
Sc  0.5654  0.4346  0.2500
Te  0.2494  0.7506  0.2500
Te  0.7506  0.2494  0.7500
O  0.2663  0.2663  0.0000
O  0.2663  0.2663  0.5000
O  0.7337  0.7337  0.0000
O  0.7337  0.7337  0.5000


Number 1: DOS(E_F) 1.9585 states/eV per atom. Number 2: DOS(E_F) 0.6798 states/eV per atom. Number 3: DOS(E_F) 0.4110 states/eV per atom. Number 4: DOS(E_F) 0.8882 states/eV per atom. Number 5: DOS(E_F) 1.6876 states/eV per atom. Number 6: DOS(E_F) 0.0000 states/eV per atom.